Record 1
LiInHgPb2 | PBE-GGA | relaxed

a b c (Å): 3.4117 5.1052 8.2597
angles (deg): 108.00 101.92 90.00
With the nearest neighbours (Å) after each atom.
Atoms (fractional coordinates):
1 Hg 0.6921 0.6921 0.3842  2 Li 2.90, 1 In 2.99
2 Pb 0.2805 0.2805 0.5610  2 Li 3.22, 1 In 3.33, 4 Hg 3.36, 2 Pb 3.41
3 Pb 0.9108 0.9108 0.8216  4 In 3.34, 1 Hg 3.35, 2 Li 3.40, 6 Pb 3.41-3.66
4 In 0.4973 0.4973 0.9946  1 Hg 2.99, 2 Li 3.02, 5 Pb 3.33-3.34
5 Li 0.6024 0.1024 0.2047  2 Hg 2.90, 2 In 3.02, 2 Pb 3.22

Output
DOS(E_F) in states/eV/atom: 0.410
Magnetization in μB per formula unit: 0.00
Formation enthalpy at 0 K in eV per atom: -0.074

---

Record 2
FeRh2S2 | PBE-GGA | relaxed

a b c (Å): 3.8904 3.8904 5.9837
angles (deg): 71.03 71.03 90.00
With the nearest neighbours (Å) after each atom.
Atoms (fractional coordinates):
1 Fe 0.0000 0.0000 0.0000  8 S 3.05, 8 Rh 3.29
2 S 0.6230 0.6230 0.7540  4 Rh 2.37, 1 S 2.61
3 S 0.3770 0.3770 0.2460  4 Rh 2.37, 1 S 2.61
4 Rh 0.2500 0.7500 0.5000  4 S 2.37
5 Rh 0.7500 0.2500 0.5000  4 S 2.37

Output
DOS(E_F) in states/eV/atom: 1.371
Energy relative to the elements, uncorrected in eV per formula unit: 1.58
Magnetization in μB per formula unit: 2.61

---

Record 3
KVTe2N | PBE-GGA | relaxed

a b c (Å): 6.0419 6.0419 4.7103
angles (deg): 90.00 90.00 90.00
With the nearest neighbours (Å) after each atom.
Atoms (fractional coordinates):
1 K 0.0000 0.0000 0.0000  2 N 2.36
2 Te 0.5000 0.0000 0.0000  2 K 3.02
3 Te 0.0000 0.5000 0.0000  2 K 3.02
4 V 0.5000 0.5000 0.5000  8 Te 3.83, 4 N 4.27
5 N 0.0000 0.0000 0.5000  2 K 2.36

Output
DOS(E_F) in states/eV/atom: 1.709
Energy relative to the elements, uncorrected in eV per formula unit: 8.71
Magnetization in μB per formula unit: 5.29

---

What did the second record say?
FeRh2S2 | PBE-GGA | relaxed

a b c (Å): 3.8904 3.8904 5.9837
angles (deg): 71.03 71.03 90.00
With the nearest neighbours (Å) after each atom.
Atoms (fractional coordinates):
1 Fe 0.0000 0.0000 0.0000  8 S 3.05, 8 Rh 3.29
2 S 0.6230 0.6230 0.7540  4 Rh 2.37, 1 S 2.61
3 S 0.3770 0.3770 0.2460  4 Rh 2.37, 1 S 2.61
4 Rh 0.2500 0.7500 0.5000  4 S 2.37
5 Rh 0.7500 0.2500 0.5000  4 S 2.37

Output
DOS(E_F) in states/eV/atom: 1.371
Energy relative to the elements, uncorrected in eV per formula unit: 1.58
Magnetization in μB per formula unit: 2.61

---

Repeat the third record exactly.
KVTe2N | PBE-GGA | relaxed

a b c (Å): 6.0419 6.0419 4.7103
angles (deg): 90.00 90.00 90.00
With the nearest neighbours (Å) after each atom.
Atoms (fractional coordinates):
1 K 0.0000 0.0000 0.0000  2 N 2.36
2 Te 0.5000 0.0000 0.0000  2 K 3.02
3 Te 0.0000 0.5000 0.0000  2 K 3.02
4 V 0.5000 0.5000 0.5000  8 Te 3.83, 4 N 4.27
5 N 0.0000 0.0000 0.5000  2 K 2.36

Output
DOS(E_F) in states/eV/atom: 1.709
Energy relative to the elements, uncorrected in eV per formula unit: 8.71
Magnetization in μB per formula unit: 5.29

---

- What is the formula in the second record?
  FeRh2S2